# ZrSnBr3 (GGA-PBE, optimized geometry)
data_ZrSnBr3
_chemical_formula_sum 'Zr1 Sn1 Br3'
_symmetry_space_group_name_H-M 'P m -3 m'
_symmetry_Int_Tables_number 221
_symmetry_space_group_name_Hall '-P 4 2 3'
_cell_length_a 5.370
_cell_length_b 5.370
_cell_length_c 5.370
_cell_angle_alpha 90.00
_cell_angle_beta 90.00
_cell_angle_gamma 90.00
loop_
_atom_site_label
_atom_site_fract_x
_atom_site_fract_y
_atom_site_fract_z
Zr1 0.000 0.000 0.000
Sn1 0.500 0.500 0.500
Br1 0.000 0.000 0.500
# **Calculated volume**: 30.98 Å³/atom
# **Energy above the most stable polymorph in this dataset**: 0 meV per atom

=====

# ZrSnBr2 (GGA-PBE, optimized geometry)
data_ZrSnBr2
_chemical_formula_sum 'Zr3 Sn3 Br6'
_symmetry_space_group_name_H-M 'R -3 m'
_symmetry_Int_Tables_number 166
_symmetry_space_group_name_Hall '-R 3 2"'
_cell_length_a 3.5170
_cell_length_b 3.5170
_cell_length_c 31.3542
_cell_angle_alpha 90.00
_cell_angle_beta 90.00
_cell_angle_gamma 120.00
loop_
_atom_site_label
_atom_site_fract_x
_atom_site_fract_y
_atom_site_fract_z
Zr1 0.0000 0.0000 0.0000
Sn1 0.0000 0.0000 0.5000
Br1 0.0000 0.0000 0.0824
# **Calculated volume**: 27.99 Å³/atom
# **Energy above the most stable polymorph in this dataset**: 421 meV per atom

=====

# ZrSnBr2 (GGA-PBE, optimized geometry)
data_ZrSnBr2
_chemical_formula_sum 'Zr3 Sn3 Br6'
_symmetry_space_group_name_H-M 'R -3 m'
_symmetry_Int_Tables_number 166
_symmetry_space_group_name_Hall '-R 3 2"'
_cell_length_a 3.4209
_cell_length_b 3.4209
_cell_length_c 34.7901
_cell_angle_alpha 90.00
_cell_angle_beta 90.00
_cell_angle_gamma 120.00
loop_
_atom_site_label
_atom_site_fract_x
_atom_site_fract_y
_atom_site_fract_z
Zr1 0.0000 0.0000 0.0000
Sn1 0.0000 0.0000 0.5000
Br1 0.0000 0.0000 0.3892
# **Calculated volume**: 29.38 Å³/atom
# **Energy above the most stable polymorph in this dataset**: 0 meV per atom

=====

# Sr3Br (GGA-PBE, optimized geometry)
data_Sr3Br
_chemical_formula_sum 'Sr6 Br2'
_symmetry_space_group_name_H-M 'P m -3 n'
_symmetry_Int_Tables_number 223
_symmetry_space_group_name_Hall '-P 4n 2 3'
_cell_length_a 7.240
_cell_length_b 7.240
_cell_length_c 7.240
_cell_angle_alpha 90.00
_cell_angle_beta 90.00
_cell_angle_gamma 90.00
loop_
_atom_site_label
_atom_site_fract_x
_atom_site_fract_y
_atom_site_fract_z
Sr1 0.000 0.250 0.500
Br1 0.000 0.000 0.000
# **Calculated volume**: 47.43 Å³/atom
# **Energy above the most stable polymorph in this dataset**: 385 meV per atom